No. 1
Material: Zr2Tl
Method: DFT, GGA-PBE
State: optimized geometry

Cell: 5.8438 5.8438 5.8438 Å, 60.00 60.00 60.00°
With the nearest neighbours (Å) after each atom.
Fractional positions:
Zr: 0.0000 0.0000 0.0000  6 Zr 2.92
Zr: 0.0000 0.0000 0.5000  6 Zr 2.92
Zr: 0.0000 0.5000 0.0000  6 Zr 2.92
Zr: 0.5000 0.0000 0.0000  6 Zr 2.92
Tl: 0.3750 0.3750 0.3750  12 Zr 3.43, 4 Tl 3.58
Tl: 0.6250 0.6250 0.6250  12 Zr 3.43, 4 Tl 3.58

Calculated values
energy = -6.2188 eV/atom
space-group type = Fd-3m

No. 2
Material: DyTm2In3CuIr2
Method: DFT, GGA-PBE
State: optimized geometry

Cell: 3.7139 7.6283 7.6283 Å, 120.15 90.00 90.00°
With the nearest neighbours (Å) after each atom.
Fractional positions:
Dy: 0.0000 0.0000 0.0000  4 Ir 2.97, 6 In 3.13-3.32, 1 Cu 3.15
Tm: 0.0000 0.4130 0.8247  4 Ir 2.94-2.95, 2 In 3.14, 1 Cu 3.14
Tm: 0.0000 0.8247 0.4130  4 Ir 2.94-2.95, 2 In 3.14, 1 Cu 3.14
In: 0.5000 0.1562 0.4136  2 Cu 2.70, 2 Ir 2.85-2.89
In: 0.5000 0.4136 0.1562  2 Cu 2.70, 2 Ir 2.85-2.89
In: 0.5000 0.6692 0.6692  2 Cu 2.69, 2 Ir 2.89
Cu: 0.0000 0.4134 0.4134  6 In 2.69-2.70
Ir: 0.5000 0.0800 0.7436  3 In 2.85-2.89, 4 Tm 2.94-2.95, 2 Dy 2.97
Ir: 0.5000 0.7436 0.0800  3 In 2.85-2.89, 4 Tm 2.94-2.95, 2 Dy 2.97

Calculated values
energy = -5.4309 eV/atom
space-group type = Amm2

No. 3
Material: Sr2ScOsN6
Method: DFT, GGA-PBE
State: optimized geometry

Cell: 5.7424 5.7424 5.7509 Å, 120.01 120.01 60.00°
With the nearest neighbours (Å) after each atom.
Fractional positions:
Sr: 0.2498 0.2498 0.2491  12 N 2.87-2.89
Sr: 0.7502 0.7502 0.7509  12 N 2.87-2.89
Sc: 0.0000 0.0000 0.5000  6 N 2.12
Os: 0.5000 0.5000 0.0000  6 N 1.94
N: 0.2602 0.7383 0.7603  1 Os 1.94, 1 Sc 2.12
N: 0.2610 0.2610 0.7623  1 Os 1.94, 1 Sc 2.12
N: 0.2617 0.7398 0.2397  1 Os 1.94, 1 Sc 2.12
N: 0.7383 0.2602 0.7603  1 Os 1.94, 1 Sc 2.12
N: 0.7390 0.7390 0.2377  1 Os 1.94, 1 Sc 2.12
N: 0.7398 0.2617 0.2397  1 Os 1.94, 1 Sc 2.12

Calculated values
energy = -7.2026 eV/atom
space-group type = C2/m

No. 4
Material: ScBeAlPt
Method: DFT, GGA-PBE
State: optimized geometry

Cell: 4.3964 4.3964 4.3964 Å, 60.00 60.00 60.00°
With the nearest neighbours (Å) after each atom.
Fractional positions:
Sc: 0.0000 0.0000 0.0000  4 Pt 2.69, 4 Be 2.69
Be: 0.2500 0.2500 0.2500  4 Al 2.69, 4 Sc 2.69
Al: 0.5000 0.5000 0.5000  4 Be 2.69, 4 Pt 2.69
Pt: 0.7500 0.7500 0.7500  4 Sc 2.69, 4 Al 2.69

Calculated values
energy = -5.6514 eV/atom
space-group type = F-43m

No. 5
Material: HfBeBi
Method: DFT, GGA-PBE
State: optimized geometry

Cell: 4.6927 4.6927 4.6927 Å, 60.00 60.00 60.00°
With the nearest neighbours (Å) after each atom.
Fractional positions:
Hf: 0.0000 0.0000 0.0000  4 Be 2.87, 4 Bi 2.87
Be: 0.7500 0.7500 0.7500  4 Hf 2.87
Bi: 0.2500 0.2500 0.2500  4 Hf 2.87

Calculated values
energy = -5.1967 eV/atom
space-group type = F-43m

No. 6
Material: MgTcBi
Method: DFT, GGA-PBE
State: optimized geometry

Cell: 4.5624 4.5624 4.5624 Å, 60.00 60.00 60.00°
With the nearest neighbours (Å) after each atom.
Fractional positions:
Mg: 0.0000 0.0000 0.0000  4 Tc 2.79
Tc: 0.7500 0.7500 0.7500  4 Bi 2.79, 4 Mg 2.79
Bi: 0.5000 0.5000 0.5000  4 Tc 2.79

Calculated values
energy = -4.8778 eV/atom
space-group type = F-43m